Entry A
SrNbAg GGA-PBE optimized geometry; symmetry = Immm (71); ρ = 6.08 g cm⁻³; size of the total moment = 0.00 μB per cell
1.0
3.528 0.000 0.000
0.000 4.447 0.000
0.000 0.000 20.075
Sr Nb Ag
4 4 4
Cartesian
0.000 0.000 3.502
0.000 0.000 16.573
1.764 2.224 6.535
1.764 2.224 13.540
0.000 2.224 0.000
0.000 2.224 10.037
1.764 0.000 0.000
1.764 0.000 10.037
0.000 0.000 7.787
0.000 0.000 12.288
1.764 2.224 2.251
1.764 2.224 17.824

---

Entry B
SrNbAg GGA-PBE optimized geometry; symmetry = F-43m (216); ρ = 5.94 g cm⁻³; size of the total moment = 0.00 μB per cell
1.0
6.858 0.000 0.000
0.000 6.858 0.000
0.000 0.000 6.858
Sr Nb Ag
4 4 4
Cartesian
0.000 0.000 0.000
0.000 3.429 3.429
3.429 0.000 3.429
3.429 3.429 0.000
1.715 1.715 5.144
1.715 5.144 1.715
5.144 1.715 1.715
5.144 5.144 5.144
0.000 0.000 3.429
0.000 3.429 0.000
3.429 0.000 0.000
3.429 3.429 3.429

---

Order from most stable to least stable according to the calculation: entry A, entry B

---

Entry A
SrNbAg GGA-PBE optimized geometry; symmetry = P4/nmm (129); ρ = 6.54 g cm⁻³; size of the total moment = 0.00 μB per cell
1.0
4.195 0.000 0.000
0.000 4.195 0.000
0.000 0.000 8.325
Sr Nb Ag
2 2 2
Cartesian
1.049 3.146 0.000
3.146 1.049 0.000
1.049 1.049 3.402
3.146 3.146 4.923
1.049 1.049 5.999
3.146 3.146 2.326

---

Entry B
SrNbAg GGA-PBE optimized geometry; symmetry = Pnma (62); ρ = 6.12 g cm⁻³; size of the total moment = 0.00 μB per cell
1.0
8.734 0.000 0.000
0.000 3.521 0.000
0.000 0.000 10.182
Sr Nb Ag
4 4 4
Cartesian
0.692 0.880 1.798
3.675 2.641 6.889
5.059 0.880 3.293
8.042 2.641 8.384
0.806 0.880 5.576
3.561 2.641 0.485
5.173 0.880 9.697
7.928 2.641 4.606
2.025 0.880 8.922
2.342 2.641 3.831
6.392 0.880 6.351
6.709 2.641 1.260

---

Order from most stable to least stable according to the calculation: entry B, entry A

---

Entry A
SrNbAg GGA-PBE optimized geometry; symmetry = Pm (6); ρ = 6.31 g cm⁻³; size of the total moment = 0.00 μB per cell
1.0
5.390 0.000 0.000
0.000 3.506 0.000
-2.417 0.000 8.039
Sr Nb Ag
2 2 2
Cartesian
0.000 0.000 0.000
0.284 0.000 5.505
2.950 0.000 2.766
2.979 1.753 4.619
0.283 1.753 2.827
2.675 1.753 0.456

---

Entry B
SrNbAg GGA-PBE optimized geometry; symmetry = P4mm (99); ρ = 6.30 g cm⁻³; size of the total moment = 0.00 μB per cell
1.0
3.572 0.000 0.000
0.000 3.572 0.000
0.000 0.000 11.912
Sr Nb Ag
2 2 2
Cartesian
0.000 0.000 0.000
0.000 0.000 4.367
0.000 0.000 8.293
1.786 1.786 9.462
1.786 1.786 2.186
1.786 1.786 6.546

---

Order from most stable to least stable according to the calculation: entry B, entry A

---

Entry A
SrNbAg GGA-PBE optimized geometry; symmetry = Cm (8); ρ = 6.23 g cm⁻³; size of the total moment = 0.00 μB per cell
1.0
11.947 0.000 0.000
0.000 3.408 0.000
-3.172 0.000 7.554
Sr Nb Ag
4 4 4
Cartesian
0.000 0.000 0.000
-0.205 1.704 5.608
5.973 1.704 0.000
5.768 0.000 5.608
1.477 1.704 2.653
2.664 0.000 4.171
7.450 0.000 2.653
8.638 1.704 4.171
-1.143 0.000 2.976
3.224 0.000 1.031
4.831 1.704 2.976
9.197 1.704 1.031

---

Entry B
SrNbAg GGA-PBE optimized geometry; symmetry = P-1 (2); ρ = 5.90 g cm⁻³; size of the total moment = 0.00 μB per cell
1.0
4.780 0.000 0.000
1.391 4.877 0.000
0.687 2.427 6.959
Sr Nb Ag
2 2 2
Cartesian
5.123 1.214 1.606
1.735 6.090 5.353
2.517 2.978 3.478
4.341 4.326 3.481
3.422 3.647 6.242
3.437 3.656 0.717

---

Order from most stable to least stable according to the calculation: entry A, entry B

---

Entry A
SrNbAg GGA-PBE optimized geometry; symmetry = P6_3/mmc (194); ρ = 6.20 g cm⁻³; size of the total moment = 6.19 μB per cell
1.0
5.298 0.000 0.000
-2.649 4.588 0.000
0.000 0.000 6.358
Sr Nb Ag
2 2 2
Cartesian
0.000 3.059 1.589
2.649 1.529 4.768
0.000 3.059 4.768
2.649 1.529 1.589
0.000 0.000 0.000
0.000 0.000 3.179

---

Entry B
SrNbAg GGA-PBE optimized geometry; symmetry = C2/m (12); ρ = 6.14 g cm⁻³; size of the total moment = 0.00 μB per cell
1.0
12.836 0.000 0.000
0.000 3.402 0.000
-2.778 0.000 7.150
Sr Nb Ag
4 4 4
Cartesian
0.000 0.000 0.000
-1.389 0.000 3.575
6.418 1.701 0.000
5.029 1.701 3.575
1.658 1.701 2.631
1.982 0.000 4.520
8.076 0.000 2.631
8.400 1.701 4.520
0.114 1.701 6.039
3.526 0.000 1.111
6.532 0.000 6.039
9.944 1.701 1.111

---

Order from most stable to least stable according to the calculation: entry B, entry A

---

Entry A
Ta2NbAg GGA-PBE optimized geometry; symmetry = I-42d (122); ρ = 11.96 g cm⁻³; size of the total moment = 0.00 μB per cell
1.0
3.974 0.000 0.000
0.000 3.974 0.000
0.000 0.000 19.786
Ta Nb Ag
8 4 4
Cartesian
0.958 0.993 2.473
0.993 2.945 7.420
0.993 3.015 17.313
1.029 0.993 12.366
2.945 2.980 12.366
2.980 0.958 17.313
2.980 1.029 7.420
3.015 2.980 2.473
0.000 0.000 0.000
0.000 1.987 4.947
1.987 0.000 14.840
1.987 1.987 9.893
0.000 0.000 9.893
0.000 1.987 14.840
1.987 0.000 4.947
1.987 1.987 0.000

---

Entry B
Ta2NbAg GGA-PBE optimized geometry; symmetry = Fm-3m (225); ρ = 12.94 g cm⁻³; size of the total moment = 0.00 μB per cell
1.0
6.611 0.000 0.000
0.000 6.611 0.000
0.000 0.000 6.611
Ta Nb Ag
8 4 4
Cartesian
1.653 1.653 1.653
1.653 1.653 4.958
1.653 4.958 1.653
1.653 4.958 4.958
4.958 1.653 1.653
4.958 1.653 4.958
4.958 4.958 1.653
4.958 4.958 4.958
0.000 0.000 0.000
0.000 3.305 3.305
3.305 0.000 3.305
3.305 3.305 0.000
0.000 0.000 3.305
0.000 3.305 0.000
3.305 0.000 0.000
3.305 3.305 3.305

---

Order from most stable to least stable according to the calculation: entry B, entry A

---

Entry A
Tb2NbAg GGA-PBE optimized geometry; symmetry = R-3m (166); ρ = 8.88 g cm⁻³; size of the total moment = 2.61 μB per cell
1.0
3.165 0.000 0.000
-1.583 2.741 0.000
0.000 0.000 33.538
Tb Nb Ag
6 3 3
Cartesian
0.000 0.000 2.967
0.000 0.000 30.571
0.000 1.828 19.392
0.000 1.828 25.325
1.583 0.914 8.213
1.583 0.914 14.146
0.000 0.000 0.000
0.000 1.828 22.359
1.583 0.914 11.179
0.000 0.000 16.769
0.000 1.828 5.590
1.583 0.914 27.948

---

Entry B
Tb2NbAg GGA-PBE optimized geometry; symmetry = P4/mmm (123); ρ = 8.97 g cm⁻³; size of the total moment = 0.00 μB per cell
1.0
3.362 0.000 0.000
0.000 3.362 0.000
0.000 0.000 8.499
Tb Nb Ag
2 1 1
Cartesian
0.000 0.000 2.115
0.000 0.000 6.384
1.681 1.681 4.250
1.681 1.681 0.000

---

Order from most stable to least stable according to the calculation: entry B, entry A

---

Entry A
NbAg3Te4 GGA-PBE optimized geometry; symmetry = Pmn2_1 (31); ρ = 5.86 g cm⁻³; size of the total moment = 0.00 μB per cell
1.0
8.941 0.000 0.000
0.000 7.798 0.000
0.000 0.000 7.535
Nb Ag Te
2 6 8
Cartesian
0.000 1.352 0.000
4.470 6.446 3.768
0.000 6.592 3.699
2.222 5.243 7.428
2.249 2.556 3.661
4.470 1.207 7.466
6.692 2.556 3.661
6.719 5.243 7.428
0.000 1.358 4.900
0.000 6.664 0.894
2.186 2.591 0.866
2.285 5.207 4.633
4.470 1.135 4.662
4.470 6.441 1.133
6.656 5.207 4.633
6.755 2.591 0.866

---

Entry B
NbAg3Te4 GGA-PBE optimized geometry; symmetry = P-43m (215); ρ = 5.67 g cm⁻³; size of the total moment = 0.00 μB per cell
1.0
6.475 0.000 0.000
0.000 6.475 0.000
0.000 0.000 6.475
Nb Ag Te
1 3 4
Cartesian
0.000 0.000 0.000
0.000 0.000 3.238
0.000 3.238 0.000
3.238 0.000 0.000
1.567 1.567 1.567
1.567 4.908 4.908
4.908 1.567 4.908
4.908 4.908 1.567

---

Order from most stable to least stable according to the calculation: entry B, entry A

---

Entry A
Nb3AgTe GGA-PBE optimized geometry; symmetry = Pm-3m (221); ρ = 6.97 g cm⁻³; size of the total moment = 0.00 μB per cell
1.0
4.967 0.000 0.000
0.000 4.967 0.000
0.000 0.000 4.967
Nb Ag Te
3 1 1
Cartesian
0.000 0.000 2.483
0.000 2.483 0.000
2.483 0.000 0.000
0.000 0.000 0.000
2.483 2.483 2.483

---

Entry B
Nb3AgTe GGA-PBE optimized geometry; symmetry = Pm-3m (221); ρ = 6.70 g cm⁻³; size of the total moment = 0.00 μB per cell
1.0
5.033 0.000 0.000
0.000 5.033 0.000
0.000 0.000 5.033
Nb Ag Te
3 1 1
Cartesian
0.000 0.000 2.517
0.000 2.517 0.000
2.517 0.000 0.000
2.517 2.517 2.517
0.000 0.000 0.000

---

Order from most stable to least stable according to the calculation: entry B, entry A

---

Entry A
TiNb2Ag GGA-PBE optimized geometry; symmetry = I-42d (122); ρ = 7.47 g cm⁻³; size of the total moment = 0.00 μB per cell
1.0
3.879 0.000 0.000
0.000 3.879 0.000
0.000 0.000 20.190
Ti Nb Ag
4 8 4
Cartesian
0.000 0.000 0.000
0.000 1.940 5.047
1.940 0.000 15.142
1.940 1.940 10.095
0.932 0.970 2.524
0.970 2.871 7.571
0.970 2.948 17.666
1.008 0.970 12.619
2.871 2.910 12.619
2.910 0.932 17.666
2.910 1.008 7.571
2.948 2.910 2.524
0.000 0.000 10.095
0.000 1.940 15.142
1.940 0.000 5.047
1.940 1.940 0.000

---

Entry B
TiNb2Ag GGA-PBE optimized geometry; symmetry = Fm-3m (225); ρ = 8.00 g cm⁻³; size of the total moment = 0.00 μB per cell
1.0
6.569 0.000 0.000
0.000 6.569 0.000
0.000 0.000 6.569
Ti Nb Ag
4 8 4
Cartesian
0.000 0.000 0.000
0.000 3.285 3.285
3.285 0.000 3.285
3.285 3.285 0.000
1.642 1.642 1.642
1.642 1.642 4.927
1.642 4.927 1.642
1.642 4.927 4.927
4.927 1.642 1.642
4.927 1.642 4.927
4.927 4.927 1.642
4.927 4.927 4.927
0.000 0.000 3.285
0.000 3.285 0.000
3.285 0.000 0.000
3.285 3.285 3.285

---

Order from most stable to least stable according to the calculation: entry B, entry A

---

Entry A
Ti2Nb2Ag GGA-PBE optimized geometry; symmetry = P4/mbm (127); ρ = 7.21 g cm⁻³; size of the total moment = 0.00 μB per cell
1.0
7.077 0.000 0.000
0.000 7.077 0.000
0.000 0.000 3.580
Ti Nb Ag
4 4 2
Cartesian
0.933 2.606 0.000
2.606 6.144 0.000
4.471 0.933 0.000
6.144 4.471 0.000
1.179 4.718 1.790
2.360 1.179 1.790
4.718 5.898 1.790
5.898 2.360 1.790
0.000 0.000 0.000
3.539 3.539 0.000

---

Entry B
Ti2Nb2Ag GGA-PBE optimized geometry; symmetry = P4/mbm (127); ρ = 6.96 g cm⁻³; size of the total moment = 0.00 μB per cell
1.0
7.260 0.000 0.000
0.000 7.260 0.000
0.000 0.000 3.526
Ti Nb Ag
4 4 2
Cartesian
1.210 2.420 0.000
2.420 6.050 0.000
4.840 1.210 0.000
6.050 4.840 0.000
0.938 4.568 1.763
2.692 0.938 1.763
4.568 6.322 1.763
6.322 2.692 1.763
0.000 0.000 1.763
3.630 3.630 1.763

---

Order from most stable to least stable according to the calculation: entry A, entry B

---

Entry A
Ti2NbAg2 GGA-PBE optimized geometry; symmetry = I4/mmm (139); ρ = 7.13 g cm⁻³; size of the total moment = 1.50 μB per cell
1.0
3.702 0.000 0.000
0.000 3.702 0.000
0.000 0.000 13.751
Ti Nb Ag
4 2 4
Cartesian
0.000 0.000 1.268
0.000 0.000 12.483
1.851 1.851 5.608
1.851 1.851 8.144
0.000 0.000 6.876
1.851 1.851 0.000
0.000 1.851 3.438
0.000 1.851 10.313
1.851 0.000 3.438
1.851 0.000 10.313

---

Entry B
Ti2NbAg2 GGA-PBE optimized geometry; symmetry = Cmmm (65); ρ = 7.26 g cm⁻³; size of the total moment = 0.00 μB per cell
1.0
3.309 0.000 0.000
0.000 17.482 0.000
0.000 0.000 3.197
Ti Nb Ag
4 2 4
Cartesian
0.000 1.545 0.000
0.000 15.936 0.000
1.654 7.196 0.000
1.654 10.286 0.000
0.000 8.741 1.599
1.654 0.000 1.599
0.000 5.502 1.599
0.000 11.980 1.599
1.654 3.239 1.599
1.654 14.243 1.599

---

Entry C
Ti2NbAg2 GGA-PBE optimized geometry; symmetry = P4/mbm (127); ρ = 7.54 g cm⁻³; size of the total moment = 0.00 μB per cell
1.0
8.042 0.000 0.000
0.000 8.042 0.000
0.000 0.000 2.754
Ti Nb Ag
4 2 4
Cartesian
1.419 2.602 0.000
2.602 6.623 0.000
5.440 1.419 0.000
6.623 5.440 0.000
0.000 0.000 1.377
4.021 4.021 1.377
0.980 5.001 1.377
3.041 0.980 1.377
5.001 7.062 1.377
7.062 3.041 1.377

---

Order from most stable to least stable according to the calculation: entry B, entry C, entry A